# 1
The following is a SCAN calculation of RuPt2 at its PBEsol-relaxed geometry, from the Alexandria database.

Computed properties:
space-group type	No. 164
ΔE_f	0.0264	eV per atom

Cell lengths 2.729, 2.729, 6.697 Å; angles 90.00, 90.00, 120.00 degrees
Fractional coordinates of all 3 atoms:
Ru 0.000 0.000 0.000
Pt 0.333 0.667 0.676
Pt 0.667 0.333 0.324

# 2
The following is a SCAN calculation of Ta4Te at its PBEsol-relaxed geometry, from the Alexandria database.

Computed properties:
space-group type	No. 87
uncorrected formation energy	0.033	eV per atom
offset from the most stable computed form	0.000	eV/atom

Cell lengths 5.434, 5.434, 5.434 Å; angles 95.67, 95.67, 143.36 degrees
Fractional coordinates of all 5 atoms:
Ta 0.104 0.692 0.796
Ta 0.308 0.104 0.412
Ta 0.692 0.896 0.588
Ta 0.896 0.308 0.204
Te 0.500 0.500 0.000

# 3
The following is a SCAN calculation of HfTi2Zn2 at its PBEsol-relaxed geometry, from the Alexandria database.

Computed properties:
space-group type	No. 127
offset from the most stable computed form	0.000	eV/atom
ΔE_f	-0.1518	eV per atom

Cell lengths 7.294, 7.294, 3.093 Å; angles 90.00, 90.00, 90.00 degrees
Fractional coordinates of all 10 atoms:
Hf 0.000 0.000 0.000
Hf 0.500 0.500 0.000
Ti 0.177 0.323 0.500
Ti 0.323 0.823 0.500
Ti 0.677 0.177 0.500
Ti 0.823 0.677 0.500
Zn 0.121 0.621 0.000
Zn 0.379 0.121 0.000
Zn 0.621 0.879 0.000
Zn 0.879 0.379 0.000

# 4
The following is a SCAN calculation of SiSbP4 at its PBEsol-relaxed geometry, from the Alexandria database.

Computed properties:
space-group type	No. 216
uncorrected formation energy	0.931	eV per atom

Cell lengths 5.248, 5.248, 5.248 Å; angles 60.00, 60.00, 60.00 degrees
Fractional coordinates of all 6 atoms:
Si 0.000 0.000 0.000
Sb 0.750 0.750 0.750
P 0.364 0.364 0.364
P 0.364 0.364 0.909
P 0.364 0.909 0.364
P 0.909 0.364 0.364